Crystalline AcTa2BiO7 at its relaxed geometry, computed with GGA-PBE. Values from VASP.

The structure in Quantum ESPRESSO input format:
```
&SYSTEM
  ibrav = 0, nat = 11, ntyp = 4
/
ATOMIC_SPECIES
Ac 227.00 Ac.upf
Ta 180.95 Ta.upf
Bi 208.98 Bi.upf
O 16.00 O.upf
CELL_PARAMETERS angstrom
3.888 0.000 0.000
0.000 3.888 0.000
0.000 0.000 11.728
ATOMIC_POSITIONS crystal
Ac 0.000 0.000 0.000
Ta 0.500 0.500 0.206
Ta 0.500 0.500 0.794
Bi 0.000 0.000 0.500
O 0.500 0.500 0.640
O 0.000 0.500 0.168
O 0.500 0.000 0.168
O 0.000 0.500 0.832
O 0.500 0.000 0.832
O 0.500 0.500 0.360
O 0.500 0.500 0.000
```

Calculated values
uncorrected formation energy	-2528.7	meV per atom
magnetization	1.4	μB per formula unit
SG	P4/mmm, No. 123


Crystalline ReSF2 at its relaxed geometry, computed with GGA-PBE. Values from VASP.

The structure in Quantum ESPRESSO input format:
```
&SYSTEM
  ibrav = 0, nat = 8, ntyp = 3
/
ATOMIC_SPECIES
Re 186.21 Re.upf
S 32.06 S.upf
F 19.00 F.upf
CELL_PARAMETERS angstrom
3.537 0.000 0.000
0.000 3.537 0.000
1.768 1.768 8.015
ATOMIC_POSITIONS crystal
Re 0.000 0.000 0.000
Re 0.750 0.250 0.500
S 0.500 0.500 0.000
S 0.250 0.750 0.500
F 0.677 0.125 0.250
F 0.073 0.625 0.250
F 0.375 0.323 0.750
F 0.875 0.927 0.750
```

Calculated values
uncorrected formation energy	-246.9	meV per atom
energy above the most stable polymorph in this dataset	171.8	kJ/mol of formula units
magnetization	1.8	μB per formula unit
SG	I-42d, No. 122


Crystalline In2Sb2Au at its relaxed geometry, computed with GGA-PBE. Values from VASP.

The structure in Quantum ESPRESSO input format:
```
&SYSTEM
  ibrav = 0, nat = 10, ntyp = 3
/
ATOMIC_SPECIES
Sb 121.76 Sb.upf
Au 196.97 Au.upf
In 114.82 In.upf
CELL_PARAMETERS angstrom
-0.134 -7.256 -1.408
3.731 1.149 -6.278
4.446 -0.575 2.537
ATOMIC_POSITIONS crystal
Sb 0.355 0.855 0.000
Sb 0.855 0.645 0.000
Sb 0.645 0.145 0.000
Sb 0.145 0.355 0.000
Au 0.000 0.000 0.000
Au 0.500 0.500 0.000
In 0.172 0.672 0.500
In 0.672 0.828 0.500
In 0.828 0.328 0.500
In 0.328 0.172 0.500
```

Calculated values
uncorrected formation energy	51.1	meV per atom
energy above the most stable polymorph in this dataset	0.0	kJ/mol of formula units
magnetization	0.0	μB per formula unit
SG	P4/mbm, No. 127


Crystalline TcMo2Ir at its relaxed geometry, computed with GGA-PBE. Values from VASP.

The structure in Quantum ESPRESSO input format:
```
&SYSTEM
  ibrav = 0, nat = 4, ntyp = 3
/
ATOMIC_SPECIES
Mo 95.94 Mo.upf
Ir 192.22 Ir.upf
Tc 98.00 Tc.upf
CELL_PARAMETERS angstrom
0.000 3.133 3.133
3.133 0.000 3.133
3.133 3.133 0.000
ATOMIC_POSITIONS crystal
Mo 0.250 0.250 0.250
Mo 0.750 0.750 0.750
Ir 0.500 0.500 0.500
Tc 0.000 0.000 0.000
```

Calculated values
energy above the most stable polymorph in this dataset	119.2	kJ/mol of formula units
magnetization	0.0	μB per formula unit
SG	Fm-3m, No. 225
E_form	0.22	eV per atom


Crystalline LaEr8Th6 at its relaxed geometry, computed with GGA-PBE. Values from VASP.

The structure in Quantum ESPRESSO input format:
```
&SYSTEM
  ibrav = 0, nat = 15, ntyp = 3
/
ATOMIC_SPECIES
La 138.91 La.upf
Er 167.26 Er.upf
Th 232.04 Th.upf
CELL_PARAMETERS angstrom
-4.264 1.029 -7.652
-0.776 -6.799 -5.565
-7.762 -3.797 -1.268
ATOMIC_POSITIONS crystal
La 0.000 0.000 0.000
Er 0.880 0.329 0.597
Er 0.805 0.120 0.403
Er 0.671 0.805 0.403
Er 0.421 0.421 0.737
Er 0.579 0.579 0.263
Er 0.329 0.195 0.597
Er 0.195 0.880 0.597
Er 0.120 0.671 0.403
Th 0.071 0.536 0.124
Th 0.732 0.929 0.876
Th 0.464 0.732 0.876
Th 0.536 0.268 0.124
Th 0.268 0.071 0.124
Th 0.929 0.464 0.876
```

Calculated values
magnetization	0.0	μB per formula unit
SG	R-3, No. 148
E_form	0.16	eV per atom


Crystalline Pr3InP at its relaxed geometry, computed with GGA-PBE. Values from VASP.

The structure in Quantum ESPRESSO input format:
```
&SYSTEM
  ibrav = 0, nat = 5, ntyp = 3
/
ATOMIC_SPECIES
Pr 140.91 Pr.upf
P 30.97 P.upf
In 114.82 In.upf
CELL_PARAMETERS angstrom
5.522 0.000 0.000
0.000 5.522 0.000
0.000 0.000 5.522
ATOMIC_POSITIONS crystal
Pr 0.000 0.500 0.000
Pr 0.000 0.000 0.500
Pr 0.500 0.000 0.000
P 0.000 0.000 0.000
In 0.500 0.500 0.500
```

Calculated values
energy above the most stable polymorph in this dataset	39.6	kJ/mol of formula units
magnetization	0.0	μB per formula unit
SG	Pm-3m, No. 221
E_form	-0.65	eV per atom


Question: Which of these has the highest magnetization?
Answer: ReSF2